A plane-wave DFT calculation with PBE-GGA was carried out for crystalline MgGe2Bi at its relaxed geometry.

Cell lengths 6.4854, 6.4854, 7.5679 Å; angles 64.63, 64.63, 90.00 degrees
Sites, in units of the cell vectors:
Mg 0.5000 0.5000 0.0000
Mg 0.2500 0.7500 0.5000
Ge 0.6128 0.1250 0.2500
Ge 0.1372 0.6250 0.2500
Ge 0.3750 0.3872 0.7500
Ge 0.8750 0.8628 0.7500
Bi 0.0000 0.0000 0.0000
Bi 0.7500 0.2500 0.5000

Space group = No. 122
E_tot = -27.32 eV for the cell shown
Volume = 31.65 Å³ per atom
Spin magnetization = 0.00 μB/f.u.
Calculated formation energy = 6.05 kcal/mol of atoms
Relative energy among the computed polymorphs = 1.88 kcal/mol of atoms

A plane-wave DFT calculation with PBE-GGA was carried out for crystalline CaGa3Se at its relaxed geometry.

Cell lengths 5.5606, 5.5606, 5.5606 Å; angles 90.00, 90.00, 90.00 degrees
Sites, in units of the cell vectors:
Ca 0.0000 0.0000 0.0000
Ga 0.0000 0.5000 0.0000
Ga 0.0000 0.0000 0.5000
Ga 0.5000 0.0000 0.0000
Se 0.5000 0.5000 0.5000

Space group = No. 221
Raw formation energy = 0.711 eV per atom
E_tot = -11.01 eV for the cell shown
Volume = 34.39 Å³ per atom
Spin magnetization = 0.00 μB/f.u.
Relative energy among the computed polymorphs = 13.35 kcal/mol of atoms

A plane-wave DFT calculation with PBE-GGA was carried out for crystalline Pr4Rh2O at its relaxed geometry.

Cell lengths 4.8570, 4.8570, 8.1202 Å; angles 107.40, 107.40, 90.00 degrees
Sites, in units of the cell vectors:
Pr 0.8116 0.8116 0.6233
Pr 0.1884 0.1884 0.3767
Pr 0.0000 0.5000 0.0000
Pr 0.5000 0.0000 0.0000
Rh 0.6272 0.6272 0.2543
Rh 0.3728 0.3728 0.7457
O 0.0000 0.0000 0.0000

Space group = No. 139
Raw formation energy = -1.077 eV per atom
E_tot = -46.32 eV for the cell shown
Volume = 24.80 Å³ per atom
Spin magnetization = 0.00 μB/f.u.

A plane-wave DFT calculation with PBE-GGA was carried out for crystalline PuSn4Pt2 at its relaxed geometry.

Cell lengths 4.5263, 7.3471, 19.0215 Å; angles 90.00, 90.00, 90.00 degrees
Last column: magnetic moment on the atom in μB.
Sites, in units of the cell vectors:
Pu 0.7500 0.9875 0.6425  5.50
Pu 0.2500 0.0125 0.3575  5.50
Pu 0.2500 0.4875 0.8575  5.50
Pu 0.7500 0.5125 0.1425  5.50
Sn 0.2500 0.2675 0.6944  0.00
Sn 0.7500 0.7325 0.3056  0.00
Sn 0.7500 0.7675 0.8056  0.00
Sn 0.2500 0.2325 0.1944  0.00
Sn 0.2500 0.6986 0.6815  0.00
Sn 0.7500 0.3014 0.3185  0.00
Sn 0.7500 0.1986 0.8185  0.00
Sn 0.2500 0.8014 0.1815  0.00
Sn 0.2500 0.1303 0.5356  0.01
Sn 0.7500 0.8697 0.4644  0.01
Sn 0.7500 0.6303 0.9644  0.01
Sn 0.2500 0.3697 0.0356  0.01
Sn 0.2500 0.4763 0.4333  -0.01
Sn 0.7500 0.5237 0.5667  -0.01
Sn 0.7500 0.9763 0.0667  -0.01
Sn 0.2500 0.0237 0.9333  -0.01
Pt 0.2500 0.7506 0.5321  0.01
Pt 0.7500 0.2494 0.4679  0.01
Pt 0.7500 0.2506 0.9679  0.01
Pt 0.2500 0.7494 0.0321  0.01
Pt 0.2500 0.9777 0.7898  0.01
Pt 0.7500 0.0223 0.2102  0.01
Pt 0.7500 0.4777 0.7102  0.01
Pt 0.2500 0.5223 0.2898  0.01

Space group = No. 62
E_tot = -184.09 eV for the cell shown
Volume = 22.59 Å³ per atom
Spin magnetization = 5.81 μB/f.u.
Calculated formation energy = -11.86 kcal/mol of atoms

A plane-wave DFT calculation with PBE-GGA was carried out for crystalline Na3Cd2In5 at its relaxed geometry.

Cell lengths 9.9901, 9.3851, 9.3060 Å; angles 120.28, 122.46, 90.00 degrees
Sites, in units of the cell vectors:
Na 0.2500 0.0000 0.0000
Na 0.7500 0.0000 0.0000
Na 0.6322 0.3956 0.2644
Na 0.3678 0.6044 0.7356
Na 0.1322 0.8688 0.2644
Na 0.8678 0.1312 0.7356
Cd 0.8675 0.7954 0.7351
Cd 0.1325 0.2046 0.2649
Cd 0.3675 0.9397 0.7351
Cd 0.6325 0.0603 0.2649
In 0.2500 0.5000 0.0000
In 0.7500 0.5000 0.0000
In 0.9962 0.7462 0.4923
In 0.5038 0.2538 0.5077
In 0.0038 0.2538 0.5077
In 0.4962 0.7462 0.4923
In 0.8835 0.5036 0.7671
In 0.1165 0.4964 0.2329
In 0.3835 0.2634 0.7671
In 0.6165 0.7366 0.2329

Space group = No. 72
E_tot = -39.00 eV for the cell shown
Volume = 29.51 Å³ per atom
Spin magnetization = 0.00 μB/f.u.
Calculated formation energy = -0.05 kcal/mol of atoms
Relative energy among the computed polymorphs = 0.82 kcal/mol of atoms

A plane-wave DFT calculation with PBE-GGA was carried out for crystalline BaZr2NiN4 at its relaxed geometry.

Cell lengths 3.3683, 5.9563, 11.5027 Å; angles 90.00, 90.00, 106.42 degrees
Sites, in units of the cell vectors:
Ba 0.1016 0.2032 0.7500
Ba 0.8984 0.7968 0.2500
Zr 0.3641 0.7282 0.5514
Zr 0.6359 0.2718 0.0514
Zr 0.6359 0.2718 0.4486
Zr 0.3641 0.7282 0.9486
Ni 0.8320 0.6640 0.7500
Ni 0.1680 0.3360 0.2500
N 0.2563 0.5127 0.1033
N 0.7437 0.4873 0.6033
N 0.7437 0.4873 0.8967
N 0.2563 0.5127 0.3967
N 0.0000 0.0000 0.5000
N 0.0000 0.0000 0.0000
N 0.4062 0.8124 0.7500
N 0.5938 0.1876 0.2500

Space group = No. 63
Raw formation energy = -0.996 eV per atom
E_tot = -132.14 eV for the cell shown
Volume = 13.83 Å³ per atom
Spin magnetization = 0.00 μB/f.u.

A plane-wave DFT calculation with PBE-GGA was carried out for crystalline KTl3 at its relaxed geometry.

Cell lengths 7.2657, 6.8202, 16.6194 Å; angles 90.00, 90.00, 90.00 degrees
Sites, in units of the cell vectors:
K 0.0883 0.2500 0.7500
K 0.7077 0.2500 0.3907
K 0.7077 0.2500 0.1093
K 0.9117 0.7500 0.2500
K 0.2923 0.7500 0.8907
K 0.2923 0.7500 0.6093
Tl 0.1693 0.0025 0.4230
Tl 0.1693 0.0025 0.0770
Tl 0.5670 0.0203 0.7500
Tl 0.4330 0.9797 0.2500
Tl 0.8307 0.9975 0.9230
Tl 0.8307 0.9975 0.5770
Tl 0.0724 0.2500 0.2500
Tl 0.4200 0.2500 0.9338
Tl 0.4200 0.2500 0.5662
Tl 0.1693 0.4975 0.4230
Tl 0.1693 0.4975 0.0770
Tl 0.5670 0.4797 0.7500
Tl 0.4330 0.5203 0.2500
Tl 0.8307 0.5025 0.9230
Tl 0.8307 0.5025 0.5770
Tl 0.9276 0.7500 0.7500
Tl 0.5800 0.7500 0.4338
Tl 0.5800 0.7500 0.0662

Space group = No. 59
E_tot = -50.36 eV for the cell shown
Volume = 34.31 Å³ per atom
Spin magnetization = 0.00 μB/f.u.
Calculated formation energy = -1.14 kcal/mol of atoms

A plane-wave DFT calculation with PBE-GGA was carried out for crystalline KLiW at its relaxed geometry.

Cell lengths 9.2102, 9.0597, 2.7766 Å; angles 84.34, 78.20, 17.46 degrees
Sites, in units of the cell vectors:
K 0.0087 0.0087 0.9913
Li 0.3115 0.3115 0.6885
W 0.6798 0.6798 0.3202

Space group = No. 42
E_tot = -12.93 eV for the cell shown
Volume = 21.42 Å³ per atom
Spin magnetization = 0.00 μB/f.u.
Calculated formation energy = 23.34 kcal/mol of atoms
Relative energy among the computed polymorphs = 0.00 kcal/mol of atoms

A plane-wave DFT calculation with PBE-GGA was carried out for crystalline Cu5Ni at its relaxed geometry.

Cell lengths 2.5542, 4.8840, 6.0644 Å; angles 74.76, 90.00, 105.16 degrees
Sites, in units of the cell vectors:
Cu 0.0013 0.0027 0.0002
Cu 0.6669 0.3338 0.6679
Cu 0.3326 0.6651 0.3303
Cu 0.3875 0.7750 0.7246
Cu 0.0563 0.1125 0.3874
Ni 0.7221 0.4442 0.0562

Space group = No. 8
E_tot = -26.18 eV for the cell shown
Volume = 11.71 Å³ per atom
Spin magnetization = 0.00 μB/f.u.
Calculated formation energy = 0.30 kcal/mol of atoms
Relative energy among the computed polymorphs = 0.33 kcal/mol of atoms

A plane-wave DFT calculation with PBE-GGA was carried out for crystalline Ce2NbO at its relaxed geometry.

Cell lengths 3.1554, 3.1554, 9.1660 Å; angles 80.09, 80.09, 60.00 degrees
Last column: magnetic moment on the atom in μB.
Sites, in units of the cell vectors:
Nb 0.0000 0.0000 0.0000  0.29
O 0.5000 0.5000 0.5000  0.00
Ce 0.1056 0.1056 0.6831  0.06
Ce 0.8944 0.8944 0.3169  0.06

Space group = No. 166
Raw formation energy = -0.882 eV per atom
E_tot = -30.42 eV for the cell shown
Volume = 19.37 Å³ per atom
Spin magnetization = 0.45 μB/f.u.

A plane-wave DFT calculation with PBE-GGA was carried out for crystalline MnBeHIr2 at its relaxed geometry.

Cell lengths 3.9699, 3.9699, 3.4076 Å; angles 90.00, 90.00, 90.00 degrees
Last column: magnetic moment on the atom in μB.
Sites, in units of the cell vectors:
Be 0.0000 0.0000 0.5000  -0.02
Ir 0.0000 0.5000 0.0000  0.10
Ir 0.5000 0.0000 0.0000  0.10
Mn 0.5000 0.5000 0.5000  3.28
H 0.0000 0.0000 0.0000  0.01

Space group = No. 123
E_tot = -34.40 eV for the cell shown
Volume = 10.74 Å³ per atom
Spin magnetization = 3.62 μB/f.u.

A plane-wave DFT calculation with PBE-GGA was carried out for crystalline NaTl3Pd3 at its relaxed geometry.

Cell lengths 6.4829, 6.8399, 6.8399 Å; angles 85.18, 90.02, 89.98 degrees
Sites, in units of the cell vectors:
Na 0.9993 0.2883 0.7117
Na 0.0007 0.7117 0.2883
Tl 0.4999 0.2669 0.7331
Tl 0.5000 0.2583 0.2583
Tl 0.5000 0.7417 0.7417
Tl 0.0000 0.2218 0.2218
Tl 0.0000 0.7782 0.7782
Tl 0.5001 0.7331 0.2669
Pd 0.2689 0.0002 0.9998
Pd 0.7512 0.5002 0.0003
Pd 0.7512 0.9997 0.4998
Pd 0.2488 0.4998 0.9997
Pd 0.2488 0.0003 0.5002
Pd 0.7311 0.9998 0.0002

Space group = No. 12
E_tot = -49.97 eV for the cell shown
Volume = 21.59 Å³ per atom
Spin magnetization = 0.00 μB/f.u.
Calculated formation energy = -3.26 kcal/mol of atoms
Relative energy among the computed polymorphs = 0.00 kcal/mol of atoms